Version A
Density functional theory data (PBE) for crystalline GaNi3Mo at its relaxed geometry.

Unit cell a=4.5195 b=4.5195 c=4.5195 alpha=90.00 beta=90.00 gamma=90.00
Element x y z (fractional)
Ga1 0.0000 0.0000 0.0000
Ni1 0.0000 0.5000 0.5000
Ni2 0.5000 0.0000 0.5000
Ni3 0.5000 0.5000 0.0000
Mo1 0.5000 0.5000 0.5000

Computed properties:
Symmetry: Pm-3m, No. 221
Density (g cm⁻³): 6.1

Version B
Density functional theory data (PBE) for crystalline GaNi3Mo at its relaxed geometry.

Unit cell a=4.2622 b=4.2622 c=4.2622 alpha=90.00 beta=90.00 gamma=90.00
Element x y z (fractional)
Ga1 0.0000 0.0000 0.0000
Ni1 0.0000 0.0000 0.5000
Ni2 0.0000 0.5000 0.0000
Ni3 0.5000 0.0000 0.0000
Mo1 0.5000 0.5000 0.5000

Computed properties:
Symmetry: Pm-3m, No. 221
Density (g cm⁻³): 7.3

Pick version B: it beats the second-best structure by 28.2 kJ/mol of atoms.